A geometry-optimized Sr2TlHg7 structure, computed with PBE-GGA.

Summary:
**V**: 36.1 Å³/atom
**Formation energy from the elements**: 0.00 eV per atom

Structure (CIF):
```
data_Sr2TlHg7
_chemical_formula_sum 'Sr2 Tl1 Hg7'
_cell_length_a 7.9948
_cell_length_b 7.9948
_cell_length_c 7.9948
_cell_angle_alpha 60.00
_cell_angle_beta 60.00
_cell_angle_gamma 60.00
_symmetry_space_group_name_H-M 'P 1'
_symmetry_Int_Tables_number 1
_symmetry_space_group_name_Hall 'P 1'
loop_
_atom_site_label
_atom_site_type_symbol
_atom_site_fract_x
_atom_site_fract_y
_atom_site_fract_z
_atom_site_occupancy
Sr1 Sr 0.2500 0.2500 0.2500 1
Sr2 Sr 0.7500 0.7500 0.7500 1
Tl1 Tl 0.0000 0.0000 0.0000 1
Hg1 Hg 0.2528 0.2528 0.7472 1
Hg2 Hg 0.2528 0.7472 0.2528 1
Hg3 Hg 0.2528 0.7472 0.7472 1
Hg4 Hg 0.5000 0.5000 0.5000 1
Hg5 Hg 0.7472 0.2528 0.2528 1
Hg6 Hg 0.7472 0.2528 0.7472 1
Hg7 Hg 0.7472 0.7472 0.2528 1
```

***

A geometry-optimized La4TbDy7 structure, computed with PBE-GGA.

Summary:
**V**: 34.7 Å³/atom
**Formation energy from the elements**: 0.26 eV per atom

Structure (CIF):
```
data_La4TbDy7
_chemical_formula_sum 'La4 Tb1 Dy7'
_cell_length_a 6.7560
_cell_length_b 6.7560
_cell_length_c 12.9069
_cell_angle_alpha 113.72
_cell_angle_beta 113.72
_cell_angle_gamma 52.30
_symmetry_space_group_name_H-M 'P 1'
_symmetry_Int_Tables_number 1
_symmetry_space_group_name_Hall 'P 1'
loop_
_atom_site_label
_atom_site_type_symbol
_atom_site_fract_x
_atom_site_fract_y
_atom_site_fract_z
_atom_site_occupancy
La1 La 0.0880 0.0880 0.2921 1
La2 La 0.3622 0.3622 0.2251 1
La3 La 0.6378 0.6378 0.7749 1
La4 La 0.9120 0.9120 0.7079 1
Tb1 Tb 0.5000 0.5000 0.0000 1
Dy1 Dy 0.0000 0.0000 0.0000 1
Dy2 Dy 0.1709 0.1709 0.6338 1
Dy3 Dy 0.2109 0.2109 0.9186 1
Dy4 Dy 0.3675 0.3675 0.5120 1
Dy5 Dy 0.6325 0.6325 0.4880 1
Dy6 Dy 0.7891 0.7891 0.0814 1
Dy7 Dy 0.8291 0.8291 0.3662 1
```

***

A geometry-optimized Mg2ScGeH structure, computed with PBE-GGA.

Summary:
**V**: 15.7 Å³/atom
**Calculated total energy**: -18.90 eV/f.u.

Structure (CIF):
```
data_Mg2ScGeH
_chemical_formula_sum 'Mg2 Sc1 Ge1 H1'
_cell_length_a 4.2942
_cell_length_b 4.2942
_cell_length_c 4.2525
_cell_angle_alpha 90.00
_cell_angle_beta 90.00
_cell_angle_gamma 90.00
_symmetry_space_group_name_H-M 'P 1'
_symmetry_Int_Tables_number 1
_symmetry_space_group_name_Hall 'P 1'
loop_
_atom_site_label
_atom_site_type_symbol
_atom_site_fract_x
_atom_site_fract_y
_atom_site_fract_z
_atom_site_occupancy
Mg1 Mg 0.0000 0.5000 0.0000 1
Mg2 Mg 0.5000 0.0000 0.0000 1
Sc1 Sc 0.0000 0.0000 0.5000 1
Ge1 Ge 0.5000 0.5000 0.5000 1
H1 H 0.0000 0.0000 0.0000 1
```

***

A geometry-optimized YSbSe2 structure, computed with PBE-GGA.

Summary:
**V**: 27.5 Å³/atom
**Formation energy without anion corrections**: -3.3 eV/f.u.

Structure (CIF):
```
data_YSbSe2
_chemical_formula_sum 'Y1 Sb1 Se2'
_cell_length_a 8.7296
_cell_length_b 8.7296
_cell_length_c 8.7296
_cell_angle_alpha 25.67
_cell_angle_beta 25.67
_cell_angle_gamma 25.67
_symmetry_space_group_name_H-M 'P 1'
_symmetry_Int_Tables_number 1
_symmetry_space_group_name_Hall 'P 1'
loop_
_atom_site_label
_atom_site_type_symbol
_atom_site_fract_x
_atom_site_fract_y
_atom_site_fract_z
_atom_site_occupancy
Y1 Y 0.0000 0.0000 0.0000 1
Sb1 Sb 0.5000 0.5000 0.5000 1
Se1 Se 0.2639 0.2639 0.2639 1
Se2 Se 0.7361 0.7361 0.7361 1
```

***

A geometry-optimized Ba2Sr8Zn structure, computed with PBE-GGA.

Summary:
**V**: 52.3 Å³/atom
**Formation energy from the elements**: 0.02 eV per atom

Structure (CIF):
```
data_Ba2Sr8Zn
_chemical_formula_sum 'Ba2 Sr8 Zn1'
_cell_length_a 11.1314
_cell_length_b 11.1314
_cell_length_c 8.3294
_cell_angle_alpha 99.41
_cell_angle_beta 99.41
_cell_angle_gamma 34.49
_symmetry_space_group_name_H-M 'P 1'
_symmetry_Int_Tables_number 1
_symmetry_space_group_name_Hall 'P 1'
loop_
_atom_site_label
_atom_site_type_symbol
_atom_site_fract_x
_atom_site_fract_y
_atom_site_fract_z
_atom_site_occupancy
Ba1 Ba 0.2067 0.2067 0.1478 1
Ba2 Ba 0.7933 0.7933 0.8522 1
Sr1 Sr 0.0152 0.0152 0.2661 1
Sr2 Sr 0.1765 0.1765 0.6486 1
Sr3 Sr 0.3672 0.3672 0.6126 1
Sr4 Sr 0.4125 0.4125 0.1196 1
Sr5 Sr 0.5875 0.5875 0.8804 1
Sr6 Sr 0.6328 0.6328 0.3874 1
Sr7 Sr 0.8235 0.8235 0.3514 1
Sr8 Sr 0.9848 0.9848 0.7339 1
Zn1 Zn 0.5000 0.5000 0.5000 1
```

***

A geometry-optimized Be3P2 structure, computed with PBE-GGA.

Summary:
**V**: 13.4 Å³/atom
**Formation energy from the elements**: -0.16 eV per atom

Structure (CIF):
```
data_Be3P2
_chemical_formula_sum 'Be48 P32'
_cell_length_a 12.4986
_cell_length_b 12.4986
_cell_length_c 12.4986
_cell_angle_alpha 131.64
_cell_angle_beta 131.64
_cell_angle_gamma 70.80
_symmetry_space_group_name_H-M 'P 1'
_symmetry_Int_Tables_number 1
_symmetry_space_group_name_Hall 'P 1'
loop_
_atom_site_label
_atom_site_type_symbol
_atom_site_fract_x
_atom_site_fract_y
_atom_site_fract_z
_atom_site_occupancy
Be1 Be 0.0465 0.5701 0.7399 1
Be2 Be 0.0479 0.0648 0.7472 1
Be3 Be 0.0648 0.8176 0.0169 1
Be4 Be 0.0692 0.3111 0.4914 1
Be5 Be 0.0701 0.5465 0.2399 1
Be6 Be 0.0777 0.8196 0.5086 1
Be7 Be 0.1699 0.9299 0.9764 1
Be8 Be 0.1804 0.1889 0.2581 1
Be9 Be 0.1824 0.6993 0.2472 1
Be10 Be 0.1889 0.4308 0.0086 1
Be11 Be 0.1935 0.1699 0.7399 1
Be12 Be 0.1993 0.6824 0.7472 1
Be13 Be 0.3007 0.0479 0.4831 1
Be14 Be 0.3065 0.0465 0.9764 1
Be15 Be 0.3111 0.3196 0.2419 1
Be16 Be 0.3176 0.5648 0.5169 1
Be17 Be 0.3196 0.5777 0.0086 1
Be18 Be 0.3301 0.3065 0.7601 1
Be19 Be 0.4223 0.9308 0.7419 1
Be20 Be 0.4299 0.6699 0.4764 1
Be21 Be 0.4308 0.9223 0.2419 1
Be22 Be 0.4352 0.4521 0.7528 1
Be23 Be 0.4521 0.1993 0.0169 1
Be24 Be 0.4535 0.1935 0.5236 1
Be25 Be 0.5465 0.8065 0.4764 1
Be26 Be 0.5479 0.8007 0.9831 1
Be27 Be 0.5648 0.5479 0.2472 1
Be28 Be 0.5692 0.0777 0.7581 1
Be29 Be 0.5701 0.3301 0.5236 1
Be30 Be 0.5777 0.0692 0.2581 1
Be31 Be 0.6699 0.6935 0.2399 1
Be32 Be 0.6804 0.4223 0.9914 1
Be33 Be 0.6824 0.4352 0.4831 1
Be34 Be 0.6889 0.6804 0.7581 1
Be35 Be 0.6935 0.9535 0.0236 1
Be36 Be 0.6993 0.9521 0.5169 1
Be37 Be 0.8007 0.3176 0.2528 1
Be38 Be 0.8065 0.8301 0.2601 1
Be39 Be 0.8111 0.5692 0.9914 1
Be40 Be 0.8176 0.3007 0.7528 1
Be41 Be 0.8196 0.8111 0.7419 1
Be42 Be 0.8301 0.0701 0.0236 1
Be43 Be 0.9223 0.1804 0.4914 1
Be44 Be 0.9299 0.4535 0.7601 1
Be45 Be 0.9308 0.6889 0.5086 1
Be46 Be 0.9352 0.1824 0.9831 1
Be47 Be 0.9521 0.9352 0.2528 1
Be48 Be 0.9535 0.4299 0.2601 1
P1 P 0.0000 0.0000 0.0000 1
P2 P 0.0000 0.0000 0.5000 1
P3 P 0.0000 0.5000 0.0000 1
P4 P 0.0000 0.5000 0.5000 1
P5 P 0.1178 0.8678 0.7356 1
P6 P 0.1250 0.3750 0.7500 1
P7 P 0.1250 0.8750 0.2500 1
P8 P 0.1322 0.3678 0.2500 1
P9 P 0.2361 0.7500 0.9861 1
P10 P 0.2500 0.2361 0.9861 1
P11 P 0.2500 0.7361 0.4861 1
P12 P 0.2639 0.2500 0.5139 1
P13 P 0.3678 0.6178 0.2356 1
P14 P 0.3750 0.1250 0.2500 1
P15 P 0.3750 0.6250 0.7500 1
P16 P 0.3822 0.1178 0.7500 1
P17 P 0.5000 0.0000 0.0000 1
P18 P 0.5000 0.0000 0.5000 1
P19 P 0.5000 0.5000 0.0000 1
P20 P 0.5000 0.5000 0.5000 1
P21 P 0.6178 0.8822 0.2500 1
P22 P 0.6250 0.3750 0.2500 1
P23 P 0.6250 0.8750 0.7500 1
P24 P 0.6322 0.3822 0.7644 1
P25 P 0.7361 0.7500 0.4861 1
P26 P 0.7500 0.2639 0.5139 1
P27 P 0.7500 0.7639 0.0139 1
P28 P 0.7639 0.2500 0.0139 1
P29 P 0.8678 0.6322 0.7500 1
P30 P 0.8750 0.1250 0.7500 1
P31 P 0.8750 0.6250 0.2500 1
P32 P 0.8822 0.1322 0.2644 1
```

***

A geometry-optimized Hf3TaHg structure, computed with PBE-GGA.

Summary:
**V**: 26.5 Å³/atom
**Formation energy from the elements**: 1.06 eV per atom

Structure (CIF):
```
data_Hf3TaHg
_chemical_formula_sum 'Hf3 Ta1 Hg1'
_cell_length_a 5.0994
_cell_length_b 5.0994
_cell_length_c 5.0994
_cell_angle_alpha 90.00
_cell_angle_beta 90.00
_cell_angle_gamma 90.00
_symmetry_space_group_name_H-M 'P 1'
_symmetry_Int_Tables_number 1
_symmetry_space_group_name_Hall 'P 1'
loop_
_atom_site_label
_atom_site_type_symbol
_atom_site_fract_x
_atom_site_fract_y
_atom_site_fract_z
_atom_site_occupancy
Hf1 Hf 0.0000 0.0000 0.5000 1
Hf2 Hf 0.0000 0.5000 0.0000 1
Hf3 Hf 0.5000 0.0000 0.0000 1
Ta1 Ta 0.0000 0.0000 0.0000 1
Hg1 Hg 0.5000 0.5000 0.5000 1
```

***

A geometry-optimized Rb2NaGe2Te4 structure, computed with PBE-GGA.

Summary:
**V**: 37.2 Å³/atom
**Formation energy without anion corrections**: -5.0 eV/f.u.

Structure (CIF):
```
data_Rb2NaGe2Te4
_chemical_formula_sum 'Rb2 Na1 Ge2 Te4'
_cell_length_a 8.5209
_cell_length_b 8.5209
_cell_length_c 7.9975
_cell_angle_alpha 104.78
_cell_angle_beta 104.78
_cell_angle_gamma 36.72
_symmetry_space_group_name_H-M 'P 1'
_symmetry_Int_Tables_number 1
_symmetry_space_group_name_Hall 'P 1'
loop_
_atom_site_label
_atom_site_type_symbol
_atom_site_fract_x
_atom_site_fract_y
_atom_site_fract_z
_atom_site_occupancy
Rb1 Rb 0.1347 0.1347 0.0726 1
Rb2 Rb 0.8653 0.8653 0.9274 1
Na1 Na 0.0000 0.0000 0.5000 1
Ge1 Ge 0.3339 0.3339 0.4859 1
Ge2 Ge 0.6661 0.6661 0.5141 1
Te1 Te 0.2032 0.2032 0.6562 1
Te2 Te 0.4756 0.4756 0.7533 1
Te3 Te 0.5244 0.5244 0.2467 1
Te4 Te 0.7968 0.7968 0.3438 1
```

***

A geometry-optimized Dy6Tm8Pb structure, computed with PBE-GGA.

Summary:
**V**: 32.0 Å³/atom
**Formation energy from the elements**: 0.19 eV per atom

Structure (CIF):
```
data_Dy6Tm8Pb
_chemical_formula_sum 'Dy6 Tm8 Pb1'
_cell_length_a 9.1308
_cell_length_b 9.1308
_cell_length_c 6.6574
_cell_angle_alpha 90.00
_cell_angle_beta 90.00
_cell_angle_gamma 120.00
_symmetry_space_group_name_H-M 'P 1'
_symmetry_Int_Tables_number 1
_symmetry_space_group_name_Hall 'P 1'
loop_
_atom_site_label
_atom_site_type_symbol
_atom_site_fract_x
_atom_site_fract_y
_atom_site_fract_z
_atom_site_occupancy
Dy1 Dy 0.0815 0.6841 0.0994 1
Dy2 Dy 0.3159 0.3974 0.0994 1
Dy3 Dy 0.3974 0.0815 0.9006 1
Dy4 Dy 0.6026 0.9185 0.0994 1
Dy5 Dy 0.6841 0.6026 0.9006 1
Dy6 Dy 0.9185 0.3159 0.9006 1
Tm1 Tm 0.0214 0.3380 0.3969 1
Tm2 Tm 0.3166 0.9786 0.3969 1
Tm3 Tm 0.3333 0.6667 0.6920 1
Tm4 Tm 0.3380 0.3166 0.6031 1
Tm5 Tm 0.6620 0.6834 0.3969 1
Tm6 Tm 0.6667 0.3333 0.3080 1
Tm7 Tm 0.6834 0.0214 0.6031 1
Tm8 Tm 0.9786 0.6620 0.6031 1
Pb1 Pb 0.0000 0.0000 0.0000 1
```

***

A geometry-optimized LaW2Cl structure, computed with PBE-GGA.

Summary:
**V**: 21.2 Å³/atom
**Formation energy without anion corrections**: 3.6 eV/f.u.

Structure (CIF):
```
data_LaW2Cl
_chemical_formula_sum 'La1 W2 Cl1'
_cell_length_a 6.1424
_cell_length_b 6.1424
_cell_length_c 2.8738
_cell_angle_alpha 90.00
_cell_angle_beta 90.00
_cell_angle_gamma 128.51
_symmetry_space_group_name_H-M 'P 1'
_symmetry_Int_Tables_number 1
_symmetry_space_group_name_Hall 'P 1'
loop_
_atom_site_label
_atom_site_type_symbol
_atom_site_fract_x
_atom_site_fract_y
_atom_site_fract_z
_atom_site_occupancy
La1 La 0.0000 0.0000 0.0000 1
W1 W 0.0000 0.5000 0.5000 1
W2 W 0.5000 0.0000 0.5000 1
Cl1 Cl 0.5000 0.5000 0.0000 1
```